This record from Alexandria via LeMat-Bulk describes an optimized crystal structure of GaF3. The functional is PBEsol.

```
8
Lattice="2.485 1.435 4.379 -2.485 1.435 4.379 0.000 -2.870 4.379" Properties=species:S:1:pos:R:3 pbc="T T T"
Ga 0.000 0.000 0.000
Ga 0.000 0.000 6.568
F -1.538 0.206 5.474
F -0.947 -1.229 7.663
F 0.590 -1.435 5.474
F -0.590 1.435 7.663
F 0.947 1.229 5.474
F 1.538 -0.206 7.663
```

Values from the calculation:
The calculation puts the calculated volume at 93.7 Å³/cell. For the formation energy without anion corrections, the calculation gives -2.64 eV/atom. As for the space group: R-3c (167). The total energy is -4.92 eV per atom.

***

This record from Alexandria via LeMat-Bulk describes an optimized crystal structure of GaH6N2F3. The functional is PBEsol.

```
12
Lattice="4.687 -2.000 0.000 4.687 2.000 0.000 -4.572 0.000 5.203" Properties=species:S:1:pos:R:3 pbc="T T T"
Ga 0.000 0.000 0.000
H 2.005 0.830 1.355
H 0.956 0.000 2.352
H 2.797 0.830 3.848
H 2.005 -0.830 1.355
H 3.846 0.000 2.851
H 2.797 -0.830 3.848
N 1.377 0.000 1.416
N 3.424 0.000 3.787
F -3.186 0.000 3.862
F 4.687 0.000 0.000
F 7.988 0.000 1.341
```

Values from the calculation:
The calculation puts the calculated volume at 97.5 Å³/cell. As for the space group: C2/m (12). The total energy is -5.09 eV per atom.

***

This record from Alexandria via LeMat-Bulk describes an optimized crystal structure of GaHN2F. The functional is PBEsol.

```
5
Lattice="3.965 0.000 0.000 0.000 3.965 0.000 0.000 0.000 3.880" Properties=species:S:1:pos:R:3 pbc="T T T"
Ga 0.000 0.000 0.000
H 1.983 1.983 1.940
N 0.000 1.983 0.000
N 1.983 0.000 0.000
F 0.000 0.000 1.940
```

Values from the calculation:
The calculation puts the calculated volume at 61.0 Å³/cell. As for the space group: P4/mmm (123). The total energy is -4.12 eV per atom.

***

This record from Alexandria via LeMat-Bulk describes an optimized crystal structure of GaH4NF4. The functional is PBEsol.

```
20
Lattice="-2.629 2.629 6.360 2.629 -2.629 6.360 2.629 2.629 -6.360" Properties=species:S:1:pos:R:3 pbc="T T T"
Ga 0.000 0.000 0.000
Ga 0.000 0.000 6.360
H 2.037 -0.592 2.572
H 3.221 -0.592 3.788
H 3.221 0.592 2.572
H 2.037 0.592 3.788
H 0.592 2.037 2.572
H -0.592 2.037 3.788
H -0.592 3.221 2.572
H 0.592 3.221 3.788
N 2.629 0.000 3.180
N 0.000 2.629 3.180
F 0.000 0.000 1.847
F 3.588 0.960 0.000
F 0.960 1.669 0.000
F 0.000 0.000 4.513
F 0.000 0.000 8.207
F 1.669 0.960 6.360
F -0.960 1.669 6.360
F 0.000 0.000 10.873
```

Values from the calculation:
The calculation puts the calculated volume at 175.8 Å³/cell. As for the space group: I4/mcm (140). The total energy is -4.92 eV per atom.

***

This record from Alexandria via LeMat-Bulk describes an optimized crystal structure of GaHOF2. The functional is PBEsol.

```
5
Lattice="3.011 0.000 0.000 0.000 3.011 0.000 0.000 0.000 4.279" Properties=species:S:1:pos:R:3 pbc="T T T"
Ga 0.000 0.000 0.000
H 1.505 1.505 2.140
O 1.505 1.505 0.000
F 0.000 1.505 2.140
F 1.505 0.000 2.140
```

Values from the calculation:
The calculation puts the calculated volume at 38.8 Å³/cell. As for the space group: P4/mmm (123). The total energy is -4.02 eV per atom.

***

This record from Alexandria via LeMat-Bulk describes an optimized crystal structure of GaTeH2F. The functional is PBEsol.

```
5
Lattice="3.969 0.000 0.000 0.000 3.969 0.000 0.000 0.000 4.092" Properties=species:S:1:pos:R:3 pbc="T T T"
Ga 0.000 0.000 0.000
Te 1.985 1.985 0.000
H 0.000 1.985 2.046
H 1.985 0.000 2.046
F 0.000 0.000 2.046
```

Values from the calculation:
The calculation puts the calculated volume at 64.5 Å³/cell. As for the space group: P4/mmm (123). The total energy is -2.86 eV per atom.

***

This record from Alexandria via LeMat-Bulk describes an optimized crystal structure of HfGaF2. The functional is PBEsol.

```
4
Lattice="1.430 0.826 9.195 -1.430 0.826 9.195 0.000 -1.651 9.195" Properties=species:S:1:pos:R:3 pbc="T T T"
Hf 0.000 0.000 0.000
Ga 0.000 0.000 13.793
F 0.000 0.000 10.713
F 0.000 0.000 16.873
```

Values from the calculation:
The calculation puts the calculated volume at 65.2 Å³/cell. For the formation energy without anion corrections, the calculation gives -1.87 eV/atom. As for the space group: R-3m (166). The total energy is -6.29 eV per atom.

***

This record from Alexandria via LeMat-Bulk describes an optimized crystal structure of HfGa2F. The functional is PBEsol.

```
4
Lattice="0.000 3.219 3.219 3.219 0.000 3.219 3.219 3.219 0.000" Properties=species:S:1:pos:R:3 pbc="T T T"
Hf 0.000 0.000 0.000
Ga 1.610 1.610 1.610
Ga 4.829 4.829 4.829
F 3.219 3.219 3.219
```

Values from the calculation:
The calculation puts the calculated volume at 66.7 Å³/cell. For the formation energy without anion corrections, the calculation gives -0.35 eV/atom. As for the space group: Fm-3m (225). The total energy is -5.13 eV per atom.

***

This record from Alexandria via LeMat-Bulk describes an optimized crystal structure of KGaHgF2. The functional is PBEsol.

```
5
Lattice="4.691 0.000 0.000 0.000 4.691 0.000 0.000 0.000 6.011" Properties=species:S:1:pos:R:3 pbc="T T T"
K 0.000 0.000 0.000
Ga 2.345 2.345 0.000
Hg 0.000 0.000 3.006
F 0.000 2.345 3.006
F 2.345 0.000 3.006
```

Values from the calculation:
The calculation puts the calculated volume at 132.3 Å³/cell. For the formation energy without anion corrections, the calculation gives -0.56 eV/atom. As for the space group: P4/mmm (123). The total energy is -2.34 eV per atom.

***

This record from Alexandria via LeMat-Bulk describes an optimized crystal structure of GaHgN2F. The functional is PBEsol.

```
5
Lattice="3.962 0.000 0.000 0.000 3.962 0.000 0.000 0.000 3.883" Properties=species:S:1:pos:R:3 pbc="T T T"
Ga 0.000 0.000 0.000
Hg 1.981 1.981 1.941
N 0.000 1.981 0.000
N 1.981 0.000 0.000
F 0.000 0.000 1.941
```

Values from the calculation:
The calculation puts the calculated volume at 61.0 Å³/cell. For the formation energy without anion corrections, the calculation gives 0.39 eV/atom. As for the space group: P4/mmm (123). The total energy is -4.19 eV per atom.

***

This record from Alexandria via LeMat-Bulk describes an optimized crystal structure of GaI3F. The functional is PBEsol.

```
5
Lattice="5.450 0.000 0.000 0.000 5.450 0.000 0.000 0.000 5.450" Properties=species:S:1:pos:R:3 pbc="T T T"
Ga 0.000 0.000 0.000
I 0.000 0.000 2.725
I 0.000 2.725 0.000
I 2.725 0.000 0.000
F 2.725 2.725 2.725
```

Values from the calculation:
The calculation puts the calculated volume at 161.9 Å³/cell. For the formation energy without anion corrections, the calculation gives -0.03 eV/atom. As for the space group: Pm-3m (221). The total energy is -2.15 eV per atom.

***

This record from Alexandria via LeMat-Bulk describes an optimized crystal structure of GaI2OF. The functional is PBEsol.

```
5
Lattice="4.890 0.000 0.000 0.000 4.890 0.000 0.000 0.000 4.748" Properties=species:S:1:pos:R:3 pbc="T T T"
Ga 0.000 0.000 0.000
I 0.000 2.445 2.374
I 2.445 0.000 2.374
O 2.445 2.445 0.000
F 2.445 2.445 2.374
```

Values from the calculation:
The calculation puts the calculated volume at 113.5 Å³/cell. For the formation energy without anion corrections, the calculation gives 0.30 eV/atom. As for the space group: P4/mmm (123). The total energy is -2.51 eV per atom.

***

This record from Alexandria via LeMat-Bulk describes an optimized crystal structure of GaIOF2. The functional is PBEsol.

```
5
Lattice="4.838 0.000 0.000 0.000 4.838 0.000 0.000 0.000 4.032" Properties=species:S:1:pos:R:3 pbc="T T T"
Ga 0.000 0.000 0.000
I 2.419 2.419 2.016
O 2.419 2.419 0.000
F 0.000 2.419 2.016
F 2.419 0.000 2.016
```

Values from the calculation:
The calculation puts the calculated volume at 94.4 Å³/cell. For the formation energy without anion corrections, the calculation gives -0.65 eV/atom. As for the space group: P4/mmm (123). The total energy is -3.49 eV per atom.

***

This record from Alexandria via LeMat-Bulk describes an optimized crystal structure of GaIO2F. The functional is PBEsol.

```
5
Lattice="4.045 0.000 0.000 0.000 4.045 0.000 0.000 0.000 5.156" Properties=species:S:1:pos:R:3 pbc="T T T"
Ga 0.000 0.000 0.000
I 2.022 2.022 2.578
O 0.000 2.022 2.578
O 2.022 0.000 2.578
F 2.022 2.022 0.000
```

Values from the calculation:
The calculation puts the calculated volume at 84.3 Å³/cell. For the formation energy without anion corrections, the calculation gives -0.47 eV/atom. As for the space group: P4/mmm (123). The total energy is -3.98 eV per atom.